Compound: NaAg2Au2
Source: the Alexandria database
Functional: GGA-PBE
Structure: optimized geometry

Structure (POSCAR):
```
NaAg2Au2
1.0
8.1470 0.0000 0.0000
0.0000 8.1470 0.0000
0.0000 0.0000 3.0378
Na Au Ag
2 4 4
Cartesian
0.0000 0.0000 0.0000
4.0735 4.0735 0.0000
3.0280 7.1015 0.0000
7.1015 5.1190 0.0000
5.1190 1.0455 0.0000
1.0455 3.0280 0.0000
1.3788 5.4523 1.5189
5.4523 6.7682 1.5189
6.7682 2.6947 1.5189
2.6947 1.3788 1.5189
```

Formation energy = -0.1116 eV per atom
SG = No. 127